Zr2CdIn: optimized geometry, PBE-GGA.

abc: 5.1767 3.1674 5.3725
angles: 89.94 90.00 90.00
Atoms (fractional coordinates):
In: 0.5000 0.6258 0.8023
Zr: 0.0000 0.1238 0.9501
Cd: 0.0000 0.6241 0.4477
Zr: 0.5000 0.1262 0.2999

Calculated values
For the total energy, the calculation gives -21.44 eV per cell. Its space-group type is No. 6. For the magnetization, the calculation gives 0.0000 μB per atom.